Computed, not measured: SiAg2Pt after structural relaxation at the GGA-PBE level of DFT.

```
data_SiAg2Pt
_space_group_name_H-M_alt 'P m m m'
_space_group_IT_number 47
_cell_length_a 2.9070
_cell_length_b 4.2688
_cell_length_c 5.3078
_cell_angle_alpha 90.00
_cell_angle_beta 90.00
_cell_angle_gamma 90.00
loop_
_space_group_symop_operation_xyz
'x,y,z'
'-x,-y,-z'
'-x,-y,z'
'x,y,-z'
'x,-y,-z'
'-x,y,z'
'-x,y,-z'
'x,-y,z'
loop_
_atom_site_label
_atom_site_fract_x
_atom_site_fract_y
_atom_site_fract_z
Si1 0.0000 0.0000 0.0000
Ag1 0.5000 0.5000 0.2485
Pt1 0.0000 0.0000 0.5000
```

Results
As for the raw formation energy: 0.0869 eV per atom. As for the electronic total energy: -4.20 eV per atom.

***

Computed, not measured: LaTcS2Cl after structural relaxation at the GGA-PBE level of DFT.

```
data_LaTcS2Cl
_space_group_name_H-M_alt 'P 4/m m m'
_space_group_IT_number 123
_space_group_name_Hall '-P 4 2'
_cell_length_a 4.7493
_cell_length_b 4.7493
_cell_length_c 4.7123
_cell_angle_alpha 90.00
_cell_angle_beta 90.00
_cell_angle_gamma 90.00
loop_
_atom_site_label
_atom_site_fract_x
_atom_site_fract_y
_atom_site_fract_z
La1 0.0000 0.0000 0.0000
Tc1 0.5000 0.5000 0.5000
S1 0.0000 0.5000 0.5000
Cl1 0.5000 0.5000 0.0000
```

Results
The excess energy over the best structure of this formula in the dataset is 0.00 eV per formula unit. As for the raw formation energy: -0.8626 eV per atom. As for the electronic total energy: -5.94 eV per atom.

***

Computed, not measured: KNdIO6 after structural relaxation at the GGA-PBE level of DFT.

```
data_KNdIO6
_space_group_name_H-M_alt 'P 3 1 2'
_space_group_IT_number 149
_cell_length_a 5.8911
_cell_length_b 5.8911
_cell_length_c 5.6704
_cell_angle_alpha 90.00
_cell_angle_beta 90.00
_cell_angle_gamma 120.00
loop_
_space_group_symop_operation_xyz
'x,y,z'
'-y,x-y,z'
'-x+y,-x,z'
'-y,-x,-z'
'-x+y,y,-z'
'x,x-y,-z'
loop_
_atom_site_label
_atom_site_fract_x
_atom_site_fract_y
_atom_site_fract_z
K1 0.0000 0.0000 0.0000
Nd1 0.3333 0.6667 0.5000
I1 0.6667 0.3333 0.5000
O1 0.4108 0.0599 0.6911
```

Results
As for the raw formation energy: -1.3289 eV per atom. As for the electronic total energy: -5.46 eV per atom.

***

Computed, not measured: Hf2Co3Si4 after structural relaxation at the GGA-PBE level of DFT.

```
data_Hf2Co3Si4
_space_group_name_H-M_alt 'C m c e'
_space_group_IT_number 64
_space_group_name_Hall '-C 2ac 2'
_cell_length_a 5.1810
_cell_length_b 13.6707
_cell_length_c 6.7717
_cell_angle_alpha 90.00
_cell_angle_beta 90.00
_cell_angle_gamma 90.00
loop_
_atom_site_label
_atom_site_fract_x
_atom_site_fract_y
_atom_site_fract_z
Hf1 0.0000 0.1055 0.0994
Co1 0.0000 0.0000 0.5000
Co2 0.2500 0.2311 0.7500
Si1 0.0000 0.1800 0.4793
Si2 0.2500 0.0621 0.7500
```

Results
The excess energy over the best structure of this formula in the dataset is 0.03 eV per formula unit. As for the raw formation energy: -0.7710 eV per atom. As for the electronic total energy: -7.76 eV per atom.

***

Computed, not measured: Ca3GaSn3 after structural relaxation at the GGA-PBE level of DFT.

```
data_Ca3GaSn3
_space_group_name_H-M_alt 'C 1 2/m 1'
_space_group_IT_number 12
_cell_length_a 11.6166
_cell_length_b 4.7473
_cell_length_c 15.0810
_cell_angle_alpha 90.00
_cell_angle_beta 107.61
_cell_angle_gamma 90.00
loop_
_space_group_symop_operation_xyz
'x,y,z'
'-x,-y,-z'
'-x,y,-z'
'x,-y,z'
'x+1/2,y+1/2,z'
'-x+1/2,-y+1/2,-z'
'-x+1/2,y+1/2,-z'
'x+1/2,-y+1/2,z'
loop_
_atom_site_label
_atom_site_fract_x
_atom_site_fract_y
_atom_site_fract_z
Ca1 0.0143 0.0000 0.3792
Ca2 0.1049 0.0000 0.9233
Ca3 0.2237 0.0000 0.2291
Ga1 0.2138 0.5000 0.3841
Sn1 0.0037 0.5000 0.2287
Sn2 0.1148 0.5000 0.0764
Sn3 0.1451 0.5000 0.5483
```

Results
As for the electronic total energy: -3.57 eV per atom.

***

Computed, not measured: Cs5Tl2Ge4 after structural relaxation at the GGA-PBE level of DFT.

```
data_Cs5Tl2Ge4
_space_group_name_H-M_alt 'C 1 2/m 1'
_space_group_IT_number 12
_cell_length_a 13.6529
_cell_length_b 7.7397
_cell_length_c 10.5575
_cell_angle_alpha 90.00
_cell_angle_beta 119.22
_cell_angle_gamma 90.00
loop_
_space_group_symop_operation_xyz
'x,y,z'
'-x,-y,-z'
'-x,y,-z'
'x,-y,z'
'x+1/2,y+1/2,z'
'-x+1/2,-y+1/2,-z'
'-x+1/2,y+1/2,-z'
'x+1/2,-y+1/2,z'
loop_
_atom_site_label
_atom_site_fract_x
_atom_site_fract_y
_atom_site_fract_z
Cs1 0.0000 0.0000 0.0000
Cs2 0.0706 0.2550 0.3594
Tl1 0.2247 0.0000 0.7807
Ge1 0.2031 0.5000 0.9240
Ge2 0.2047 0.5000 0.7050
```

Results
As for the electronic total energy: -2.40 eV per atom.